(1)
The following is a PBE calculation of a relaxed structure of NaNpTlTe3, from OQMD via LeMat-Bulk.

Structure (POSCAR):
```
NaNpTlTe3
1.0
6.1667 1.8632 4.4826
-7.3748 1.8083 -1.9840
-4.1030 -7.2390 8.6533
Na Np Te Tl
2 2 6 2
direct
0.5607 0.4393 0.2500
0.4393 0.5607 0.7500
0.0000 0.0000 0.0000
0.0000 0.0000 0.5000
0.6355 0.3645 0.0234
0.9319 0.0681 0.2500
0.6355 0.3645 0.4766
0.3645 0.6355 0.5234
0.0681 0.9319 0.7500
0.3645 0.6355 0.9766
0.2706 0.7294 0.2500
0.7294 0.2706 0.7500
```

Properties
space group	Cmcm, No. 63


(2)
The following is a PBE calculation of a relaxed structure of ZrTaCuBi, from OQMD via LeMat-Bulk.

Structure (POSCAR):
```
ZrTaCuBi
1.0
0.0000 3.4229 3.4229
3.4229 0.0000 3.4229
3.4229 3.4229 0.0000
Bi Cu Ta Zr
1 1 1 1
direct
0.0000 0.0000 0.0000
0.2500 0.2500 0.2500
0.7500 0.7500 0.7500
0.5000 0.5000 0.5000
```

Properties
energy above the lowest structure with this stoichiometry	217	meV/atom
space group	F-43m, No. 216


(3)
The following is a PBE calculation of a relaxed structure of NiBW, from OQMD via LeMat-Bulk.

Structure (POSCAR):
```
NiBW
1.0
0.0000 2.6467 2.6467
2.6467 0.0000 2.6467
2.6467 2.6467 0.0000
B Ni W
1 1 1
direct
0.2500 0.2500 0.2500
0.0000 0.0000 0.0000
0.7500 0.7500 0.7500
```

Properties
space group	F-43m, No. 216


(4)
The following is a PBE calculation of a relaxed structure of HoZnInTe3, from OQMD via LeMat-Bulk.

Structure (POSCAR):
```
HoZnInTe3
1.0
9.7135 -2.1617 0.0000
9.7135 2.1617 0.0000
-2.0203 0.0000 8.9935
Ho In Te Zn
2 2 6 2
direct
0.1717 0.1717 0.0808
0.8283 0.8283 0.9192
0.8681 0.8681 0.4289
0.1319 0.1319 0.5711
0.0000 0.0000 0.0000
0.3313 0.3313 0.1498
0.6770 0.6770 0.3169
0.5000 0.5000 0.5000
0.3230 0.3230 0.6831
0.6687 0.6687 0.8502
0.5356 0.5356 0.2213
0.4644 0.4644 0.7787
```

Properties
energy above the lowest structure with this stoichiometry	120	meV/atom
space group	C2/m, No. 12


| no. | volume (Å³ per cell) | VASP energy (eV/atom) |
| --- | --- | --- |
| 1 | 414.6 | -4.88 |
| 2 | 80.2 | -6.51 |
| 3 | 37.1 | -7.80 |
| 4 | 377.7 | -3.65 |